Material: KHg5Br11
Method: DFT, GGA-PBEsol
State: relaxed

Properties
The density of states at the Fermi level comes out at 0.000 states/eV per cell. Its crystal system is monoclinic. The calculated volume comes out at 528 Å³/cell. The value obtained for the uncorrected formation energy is -9.6 eV per formula unit. The final energy comes out at -34.137 eV for the cell shown.

```
data_KHg5Br11
_chemical_formula_sum 'K1 Hg5 Br11'
_symmetry_space_group_name_H-M 'P 1'
_symmetry_Int_Tables_number 1
_cell_length_a 6.728
_cell_length_b 9.514
_cell_length_c 9.514
_cell_angle_alpha 102.69
_cell_angle_beta 106.66
_cell_angle_gamma 106.66
loop_
_symmetry_equiv_pos_as_xyz
'x,y,z'
loop_
_atom_site_label
_atom_site_type_symbol
_atom_site_fract_x
_atom_site_fract_y
_atom_site_fract_z
_atom_site_occupancy
Br1 Br 0.080 0.423 0.177 1
Hg1 Hg 0.320 0.974 0.649 1
Br2 Br 0.080 0.177 0.423 1
Br3 Br 0.710 0.141 0.707 1
K1 K 0.000 0.000 0.000 1
Br4 Br 0.920 0.823 0.577 1
Hg2 Hg 0.680 0.026 0.351 1
Br5 Br 0.920 0.577 0.823 1
Br6 Br 0.595 0.351 0.351 1
Hg3 Hg 0.000 0.500 0.500 1
Br7 Br 0.710 0.707 0.141 1
Hg4 Hg 0.320 0.649 0.974 1
Br8 Br 0.290 0.859 0.293 1
Br9 Br 0.405 0.649 0.649 1
Br10 Br 0.500 0.000 0.000 1
Br11 Br 0.290 0.293 0.859 1
Hg5 Hg 0.680 0.351 0.026 1
```

---

Material: CaFeCo2
Method: DFT, GGA-PBEsol
State: relaxed

Properties
The density of states at the Fermi level comes out at 3.623 states/eV per cell. Its crystal system is tetragonal. The calculated volume comes out at 57 Å³/cell. The final energy comes out at -25.346 eV for the cell shown. Its energy above the most stable polymorph in this dataset is 85 meV/atom.

```
data_CaFeCo2
_chemical_formula_sum 'Ca1 Fe1 Co2'
_symmetry_space_group_name_H-M 'P 1'
_symmetry_Int_Tables_number 1
_cell_length_a 2.936
_cell_length_b 2.936
_cell_length_c 6.577
_cell_angle_alpha 90.00
_cell_angle_beta 90.00
_cell_angle_gamma 90.00
loop_
_symmetry_equiv_pos_as_xyz
'x,y,z'
loop_
_atom_site_label
_atom_site_type_symbol
_atom_site_fract_x
_atom_site_fract_y
_atom_site_fract_z
_atom_site_occupancy
Co1 Co 0.000 0.000 0.187 1
Co2 Co 0.000 0.000 0.813 1
Ca1 Ca 0.500 0.500 0.500 1
Fe1 Fe 0.500 0.500 0.000 1
```

---

Material: LaHg2
Method: DFT, GGA-PBEsol
State: relaxed

Properties
The density of states at the Fermi level comes out at 2.068 states/eV per cell. Its crystal system is hexagonal. The calculated volume comes out at 75 Å³/cell. The final energy comes out at -8.238 eV for the cell shown.

```
data_LaHg2
_chemical_formula_sum 'La1 Hg2'
_symmetry_space_group_name_H-M 'P 1'
_symmetry_Int_Tables_number 1
_cell_length_a 3.496
_cell_length_b 4.992
_cell_length_c 4.992
_cell_angle_alpha 120.00
_cell_angle_beta 90.00
_cell_angle_gamma 90.00
loop_
_symmetry_equiv_pos_as_xyz
'x,y,z'
loop_
_atom_site_label
_atom_site_type_symbol
_atom_site_fract_x
_atom_site_fract_y
_atom_site_fract_z
_atom_site_occupancy
La1 La 0.500 0.000 0.000 1
Hg1 Hg 0.000 0.667 0.333 1
Hg2 Hg 0.000 0.333 0.667 1
```

---

Material: CuRe2Hg
Method: DFT, GGA-PBEsol
State: relaxed

Properties
The density of states at the Fermi level comes out at 2.504 states/eV per cell. Its crystal system is tetragonal. The calculated volume comes out at 60 Å³/cell. The final energy comes out at -29.056 eV for the cell shown.

```
data_CuRe2Hg
_chemical_formula_sum 'Cu1 Re2 Hg1'
_symmetry_space_group_name_H-M 'P 1'
_symmetry_Int_Tables_number 1
_cell_length_a 3.968
_cell_length_b 3.968
_cell_length_c 4.708
_cell_angle_alpha 114.93
_cell_angle_beta 114.93
_cell_angle_gamma 90.00
loop_
_symmetry_equiv_pos_as_xyz
'x,y,z'
loop_
_atom_site_label
_atom_site_type_symbol
_atom_site_fract_x
_atom_site_fract_y
_atom_site_fract_z
_atom_site_occupancy
Re1 Re 0.750 0.250 0.500 1
Cu1 Cu 0.500 0.500 0.000 1
Hg1 Hg 0.250 0.750 0.500 1
Re2 Re 0.000 0.000 0.000 1
```

---

Material: V4Ni2O9
Method: DFT, GGA-PBEsol
State: relaxed

Properties
The density of states at the Fermi level comes out at 16.249 states/eV per cell. Its crystal system is monoclinic. The calculated volume comes out at 283 Å³/cell. The value obtained for the uncorrected formation energy is -28.8 eV per formula unit. The final energy comes out at -253.854 eV for the cell shown.

```
data_V4Ni2O9
_chemical_formula_sum 'V8 Ni4 O18'
_symmetry_space_group_name_H-M 'P 1'
_symmetry_Int_Tables_number 1
_cell_length_a 4.858
_cell_length_b 5.401
_cell_length_c 12.129
_cell_angle_alpha 94.75
_cell_angle_beta 90.00
_cell_angle_gamma 116.73
loop_
_symmetry_equiv_pos_as_xyz
'x,y,z'
loop_
_atom_site_label
_atom_site_type_symbol
_atom_site_fract_x
_atom_site_fract_y
_atom_site_fract_z
_atom_site_occupancy
Ni1 Ni 0.473 0.943 0.383 1
Ni2 Ni 0.807 0.605 0.550 1
O1 O 0.520 0.772 0.026 1
O2 O 0.098 0.544 0.309 1
O3 O 0.879 0.434 0.695 1
V1 V 0.214 0.415 0.948 1
V2 V 0.131 0.261 0.716 1
V3 V 0.536 0.074 0.112 1
O4 O 0.010 0.651 0.911 1
O5 O 0.786 0.902 0.650 1
V4 V 0.538 0.074 0.612 1
O6 O 0.687 0.998 0.242 1
V5 V 0.865 0.743 0.287 1
O7 O 0.446 0.544 0.809 1
O8 O 0.194 0.107 0.356 1
O9 O 0.913 0.107 0.856 1
O10 O 0.337 0.320 0.582 1
V6 V 0.130 0.261 0.216 1
O11 O 0.983 0.320 0.082 1
V7 V 0.878 0.743 0.787 1
Ni3 Ni 0.470 0.943 0.883 1
O12 O 0.641 0.651 0.411 1
O13 O 0.311 0.998 0.742 1
O14 O 0.793 0.232 0.484 1
V8 V 0.201 0.415 0.448 1
O15 O 0.116 0.902 0.150 1
O16 O 0.556 0.434 0.195 1
Ni4 Ni 0.798 0.605 0.050 1
O17 O 0.439 0.232 0.984 1
O18 O 0.251 0.772 0.526 1
```

---

Material: LaY2Co
Method: DFT, GGA-PBEsol
State: relaxed

Properties
The density of states at the Fermi level comes out at 3.992 states/eV per cell. Its crystal system is trigonal. The calculated volume comes out at 109 Å³/cell. The final energy comes out at -26.665 eV for the cell shown. Its energy above the most stable polymorph in this dataset is 58 meV/atom.

```
data_LaY2Co
_chemical_formula_sum 'La1 Y2 Co1'
_symmetry_space_group_name_H-M 'P 1'
_symmetry_Int_Tables_number 1
_cell_length_a 3.718
_cell_length_b 3.718
_cell_length_c 9.384
_cell_angle_alpha 78.57
_cell_angle_beta 78.57
_cell_angle_gamma 60.00
loop_
_symmetry_equiv_pos_as_xyz
'x,y,z'
loop_
_atom_site_label
_atom_site_type_symbol
_atom_site_fract_x
_atom_site_fract_y
_atom_site_fract_z
_atom_site_occupancy
La1 La 0.000 0.000 0.000 1
Y1 Y 0.222 0.222 0.335 1
Y2 Y 0.778 0.778 0.665 1
Co1 Co 0.500 0.500 0.500 1
```

---

Material: Na3AsPt
Method: DFT, GGA-PBEsol
State: relaxed

Properties
The density of states at the Fermi level comes out at 7.574 states/eV per cell. Its crystal system is cubic. The calculated volume comes out at 150 Å³/cell. The final energy comes out at -13.281 eV for the cell shown.

```
data_Na3AsPt
_chemical_formula_sum 'Na3 As1 Pt1'
_symmetry_space_group_name_H-M 'P 1'
_symmetry_Int_Tables_number 1
_cell_length_a 5.314
_cell_length_b 5.314
_cell_length_c 5.314
_cell_angle_alpha 90.00
_cell_angle_beta 90.00
_cell_angle_gamma 90.00
loop_
_symmetry_equiv_pos_as_xyz
'x,y,z'
loop_
_atom_site_label
_atom_site_type_symbol
_atom_site_fract_x
_atom_site_fract_y
_atom_site_fract_z
_atom_site_occupancy
Na1 Na 0.000 0.500 0.000 1
Pt1 Pt 0.500 0.500 0.500 1
Na2 Na 0.000 0.000 0.500 1
Na3 Na 0.500 0.000 0.000 1
As1 As 0.000 0.000 0.000 1
```

---

Material: Cu2AuBr
Method: DFT, GGA-PBEsol
State: relaxed

Properties
The density of states at the Fermi level comes out at 0.905 states/eV per cell. Its crystal system is orthorhombic. The calculated volume comes out at 71 Å³/cell. The value obtained for the uncorrected formation energy is 0.9 eV per formula unit. The final energy comes out at -13.603 eV for the cell shown. Its energy above the most stable polymorph in this dataset is 0 meV/atom.

```
data_Cu2AuBr
_chemical_formula_sum 'Cu2 Au1 Br1'
_symmetry_space_group_name_H-M 'P 1'
_symmetry_Int_Tables_number 1
_cell_length_a 3.226
_cell_length_b 3.723
_cell_length_c 6.441
_cell_angle_alpha 106.80
_cell_angle_beta 104.50
_cell_angle_gamma 90.00
loop_
_symmetry_equiv_pos_as_xyz
'x,y,z'
loop_
_atom_site_label
_atom_site_type_symbol
_atom_site_fract_x
_atom_site_fract_y
_atom_site_fract_z
_atom_site_occupancy
Br1 Br 0.226 0.726 0.451 1
Au1 Au 0.502 0.502 0.003 1
Cu1 Cu 0.821 0.321 0.641 1
Cu2 Cu 0.952 0.952 0.904 1
```